DFT (PBE) results for a geometry-optimized AcNd5 structure.

Values from the calculation:
formation energy from the elements: 0.6 kcal/mol of atoms

Cell: 5.2894 6.4645 7.4591 Å, 106.71 90.00 114.15°
Closest atoms and distances in Å follow each position.
Fractional positions:
Nd1 0.6397 0.2795 0.8930  9 Nd 3.68-3.78, 3 Ac 3.74
Nd2 0.6357 0.2713 0.3843  10 Nd 3.68-3.78, 2 Ac 3.77
Nd3 0.3055 0.6110 0.2222  10 Nd 3.70-3.74, 2 Ac 3.73
Ac1 0.3056 0.6112 0.7222  12 Nd 3.73-3.77
Nd4 0.9714 0.9428 0.5515  9 Nd 3.68-3.78, 3 Ac 3.74
Nd5 0.9754 0.9508 0.0602  10 Nd 3.68-3.78, 2 Ac 3.77

=====

DFT (PBE) results for a geometry-optimized Ac23Nd6 structure.

Values from the calculation:
formation energy from the elements: 4.4 kcal/mol of atoms

Cell: 12.1893 12.1893 12.1893 Å, 60.00 60.00 60.00°
Closest atoms and distances in Å follow each position.
Fractional positions:
Ac1 0.0000 0.6631 0.3369  10 Ac 3.98-4.12, 2 Nd 4.13
Ac2 0.0000 0.0000 0.3369  10 Ac 3.98-4.12, 2 Nd 4.13
Ac3 0.9214 0.3595 0.3595  1 Ac 3.27, 3 Nd 3.44
Ac4 0.3595 0.3595 0.3595  1 Ac 3.27, 3 Nd 3.44
Ac5 0.6631 0.0000 0.3369  10 Ac 3.97-4.12, 2 Nd 4.13
Ac6 0.3595 0.3595 0.9214  1 Ac 3.27, 3 Nd 3.44
Ac7 0.0786 0.6405 0.6405  1 Ac 3.27, 3 Nd 3.44
Ac8 0.0000 0.3369 0.0000  10 Ac 3.98-4.12, 2 Nd 4.13
Nd1 0.3387 0.6613 0.6613  4 Ac 3.44
Ac9 0.6631 0.3369 0.0000  10 Ac 3.97-4.12, 2 Nd 4.13
Ac10 0.6405 0.6405 0.0786  1 Ac 3.27, 3 Nd 3.44
Ac11 0.2500 0.2500 0.2500  4 Ac 3.27
Nd2 0.6613 0.6613 0.3387  4 Ac 3.44
Ac12 0.7500 0.7500 0.7500  4 Ac 3.27
Nd3 0.3387 0.3387 0.6613  4 Ac 3.44
Ac13 0.0000 0.0000 0.0000  12 Ac 4.11
Ac14 0.0000 0.0000 0.6631  10 Ac 3.98-4.12, 2 Nd 4.13
Ac15 0.0000 0.3369 0.6631  10 Ac 3.98-4.12, 2 Nd 4.13
Nd4 0.3387 0.6613 0.3387  4 Ac 3.44
Ac16 0.3369 0.0000 0.0000  10 Ac 3.97-4.12, 2 Nd 4.13
Nd5 0.6613 0.3387 0.3387  4 Ac 3.44
Ac17 0.3369 0.0000 0.6631  10 Ac 3.97-4.12, 2 Nd 4.13
Ac18 0.6405 0.6405 0.6405  1 Ac 3.27, 3 Nd 3.44
Ac19 0.3595 0.9214 0.3595  1 Ac 3.27, 3 Nd 3.44
Ac20 0.3369 0.6631 0.0000  10 Ac 3.97-4.12, 2 Nd 4.13
Ac21 0.6631 0.0000 0.0000  10 Ac 3.97-4.12, 2 Nd 4.13
Nd6 0.6613 0.3387 0.6613  4 Ac 3.44
Ac22 0.0000 0.6631 0.0000  10 Ac 3.98-4.12, 2 Nd 4.13
Ac23 0.6405 0.0786 0.6405  1 Ac 3.27, 3 Nd 3.44

=====

DFT (PBE) results for a geometry-optimized AcNd structure.

Values from the calculation:
ΔE to the lowest computed polymorph: 86 meV per atom
formation energy from the elements: 2.7 kcal/mol of atoms

Cell: 4.3093 4.3093 4.3093 Å, 90.00 90.00 90.00°
Closest atoms and distances in Å follow each position.
Fractional positions:
Ac1 0.0000 0.0000 0.0000  8 Nd 3.73
Nd1 0.5000 0.5000 0.5000  8 Ac 3.73

=====

DFT (PBE) results for a geometry-optimized Ac4Nd5 structure.

Values from the calculation:
ΔE to the lowest computed polymorph: 50 meV per atom
formation energy from the elements: 1.9 kcal/mol of atoms

Cell: 7.3762 10.5226 10.5226 Å, 120.00 90.00 90.00°
Closest atoms and distances in Å follow each position.
Fractional positions:
Nd1 0.2500 0.0000 0.6710  5 Ac 3.45-3.69
Ac1 0.0000 0.0000 0.0000  8 Ac 3.69-4.05, 6 Nd 3.92
Nd2 0.2500 0.6710 0.0000  5 Ac 3.45-3.69
Nd3 0.2500 0.3290 0.3290  5 Ac 3.45-3.69
Ac2 0.7500 0.3428 0.3428  5 Nd 3.45-3.69
Nd4 0.5000 0.3333 0.6667  8 Nd 3.69-3.98, 6 Ac 3.92
Nd5 0.5000 0.6667 0.3333  8 Nd 3.69-3.98, 6 Ac 3.92
Nd6 0.7500 0.0000 0.3290  5 Ac 3.45-3.69
Ac3 0.2500 0.3428 0.0000  5 Nd 3.45-3.69
Nd7 0.0000 0.6667 0.3333  8 Nd 3.69-3.98, 6 Ac 3.92
Ac4 0.7500 0.0000 0.6572  5 Nd 3.45-3.69
Ac5 0.2500 0.0000 0.3428  5 Nd 3.45-3.69
Nd8 0.0000 0.3333 0.6667  8 Nd 3.69-3.98, 6 Ac 3.92
Nd9 0.7500 0.6710 0.6710  5 Ac 3.45-3.69
Ac6 0.7500 0.6572 0.0000  5 Nd 3.45-3.69
Nd10 0.7500 0.3290 0.0000  5 Ac 3.45-3.69
Ac7 0.2500 0.6572 0.6572  5 Nd 3.45-3.69
Ac8 0.5000 0.0000 0.0000  8 Ac 3.69-4.05, 6 Nd 3.92

=====

Question: What is the formation energy from the elements in the third record?
Answer: 2.7 kcal/mol of atoms

=====

Question: Look up the formation energy from the elements of the first one.
Answer: 0.6 kcal/mol of atoms

=====

Question: Look up the formation energy from the elements of the fourth one.
Answer: 1.9 kcal/mol of atoms